ScTl4Cl after structural relaxation, computed with PBE.

Output
Calculated volume: 28.93 A^3/atom
Total DFT energy (no corrections): -17.29 eV per cell
ΔE_f (raw): 59 meV per atom
Space group: F-43m (216)

Unit cell a=6.261 b=6.261 c=6.261 alpha=60.00 beta=60.00 gamma=60.00
Fractional coordinates of all 6 atoms:
Sc 0.000 0.000 0.000
Tl 0.125 0.625 0.625
Tl 0.625 0.125 0.625
Tl 0.625 0.625 0.125
Tl 0.625 0.625 0.625
Cl 0.250 0.250 0.250